# 1
! YThCd4 PBE relaxed; values from VASP
! Symmetry: I-4m2
! Calculated formation energy, eV/atom: -0.05
! D(E_F), states/eV/cell: 7.47
! E above lowest polymorph, meV/atom: 206
&SYSTEM
  ibrav = 0, nat = 6, ntyp = 3
/
ATOMIC_SPECIES
Th 232.04 Th.upf
Cd 112.41 Cd.upf
Y 88.91 Y.upf
ATOMIC_POSITIONS crystal
Th 0.000 0.000 0.000
Cd 0.420 0.420 0.840
Cd 0.828 0.328 0.655
Cd 0.672 0.172 0.345
Cd 0.580 0.580 0.160
Y 0.250 0.750 0.500
CELL_PARAMETERS angstrom
4.138 0.000 -1.278
-0.395 4.119 -1.278
0.584 0.643 9.230



# 2
! YThCd6 PBE relaxed; values from VASP
! Symmetry: Amm2
! Calculated formation energy, eV/atom: -0.21
! D(E_F), states/eV/cell: 5.56
&SYSTEM
  ibrav = 0, nat = 8, ntyp = 3
/
ATOMIC_SPECIES
Y 88.91 Y.upf
Cd 112.41 Cd.upf
Th 232.04 Th.upf
ATOMIC_POSITIONS crystal
Y 0.500 0.400 0.600
Cd 0.500 0.444 0.115
Cd 0.500 0.885 0.556
Cd 0.000 0.064 0.388
Cd 0.000 0.579 0.421
Cd 0.500 0.917 0.083
Cd 0.000 0.612 0.936
Th 0.000 0.099 0.901
CELL_PARAMETERS angstrom
4.978 0.000 0.000
0.000 6.677 -0.055
0.000 -3.006 5.963



# 3
! YThCd17 PBE relaxed; values from VASP
! Symmetry: R3m
! Calculated formation energy, eV/atom: -0.09
! D(E_F), states/eV/cell: 5.36
&SYSTEM
  ibrav = 0, nat = 19, ntyp = 3
/
ATOMIC_SPECIES
Cd 112.41 Cd.upf
Th 232.04 Th.upf
Y 88.91 Y.upf
ATOMIC_POSITIONS crystal
Cd 0.127 0.658 0.658
Cd 0.000 0.305 0.696
Cd 0.305 0.696 0.000
Cd 0.791 0.373 0.373
Cd 0.305 0.000 0.696
Cd 0.696 0.305 0.000
Cd 0.000 0.696 0.305
Cd 0.696 0.000 0.305
Cd 0.898 0.898 0.898
Cd 0.476 0.021 0.021
Cd 0.658 0.658 0.127
Cd 0.373 0.373 0.791
Cd 0.021 0.021 0.476
Cd 0.373 0.791 0.373
Cd 0.094 0.094 0.094
Cd 0.658 0.127 0.658
Cd 0.021 0.476 0.021
Th 0.671 0.671 0.671
Y 0.333 0.333 0.333
CELL_PARAMETERS angstrom
7.605 0.056 0.960
0.853 7.558 0.960
0.062 0.056 7.666



# 4
! Y3ThCd4 PBE relaxed; values from VASP
! Symmetry: Pmma
! Calculated formation energy, eV/atom: -0.26
! D(E_F), states/eV/cell: 19.96
&SYSTEM
  ibrav = 0, nat = 16, ntyp = 3
/
ATOMIC_SPECIES
Th 232.04 Th.upf
Cd 112.41 Cd.upf
Y 88.91 Y.upf
ATOMIC_POSITIONS crystal
Th 0.000 0.500 0.000
Th 0.000 0.500 0.500
Cd 0.500 0.241 0.000
Cd 0.998 0.759 0.250
Cd 0.002 0.241 0.750
Cd 0.998 0.241 0.250
Cd 0.500 0.759 0.000
Cd 0.500 0.759 0.500
Cd 0.500 0.241 0.500
Cd 0.002 0.759 0.750
Y 0.499 0.500 0.250
Y 0.000 0.000 0.500
Y 0.000 0.000 0.000
Y 0.501 0.500 0.750
Y 0.501 0.000 0.750
Y 0.499 0.000 0.250
CELL_PARAMETERS angstrom
-1.583 -1.222 -4.899
-3.881 -6.050 2.763
-8.578 6.076 1.256



# 5
! YThCd3 PBE relaxed; values from VASP
! Symmetry: Cmcm
! Calculated formation energy, eV/atom: -0.22
! D(E_F), states/eV/cell: 8.83
&SYSTEM
  ibrav = 0, nat = 10, ntyp = 3
/
ATOMIC_SPECIES
Cd 112.41 Cd.upf
Th 232.04 Th.upf
Y 88.91 Y.upf
ATOMIC_POSITIONS crystal
Cd 0.250 0.677 0.355
Cd 0.250 0.476 0.951
Cd 0.250 0.377 0.754
Cd 0.750 0.323 0.645
Cd 0.750 0.623 0.246
Cd 0.750 0.524 0.049
Th 0.750 0.925 0.850
Th 0.250 0.075 0.150
Y 0.750 0.215 0.430
Y 0.250 0.785 0.570
CELL_PARAMETERS angstrom
-0.571 -4.546 2.065
3.199 0.208 1.341
-7.190 6.209 11.684



# 6
! Y2Th2Cd PBE relaxed; values from VASP
! Symmetry: I4/mmm
! Calculated formation energy, eV/atom: -0.14
! D(E_F), states/eV/cell: 8.22
&SYSTEM
  ibrav = 0, nat = 5, ntyp = 3
/
ATOMIC_SPECIES
Y 88.91 Y.upf
Th 232.04 Th.upf
Cd 112.41 Cd.upf
ATOMIC_POSITIONS crystal
Y 0.412 0.412 0.823
Y 0.588 0.588 0.177
Th 0.197 0.197 0.394
Th 0.803 0.803 0.606
Cd 0.000 0.000 0.000
CELL_PARAMETERS angstrom
3.573 0.000 -0.573
-0.092 3.572 -0.573
0.043 0.044 11.687



# 7
! Y4ThCd PBE relaxed; values from VASP
! Symmetry: P4/mmm
! Calculated formation energy, eV/atom: -0.09
! D(E_F), states/eV/cell: 7.94
&SYSTEM
  ibrav = 0, nat = 6, ntyp = 3
/
ATOMIC_SPECIES
Y 88.91 Y.upf
Th 232.04 Th.upf
Cd 112.41 Cd.upf
ATOMIC_POSITIONS crystal
Y 0.500 0.500 0.828
Y 0.500 0.500 0.172
Y 0.000 0.000 0.356
Y 0.000 0.000 0.644
Th 0.000 0.000 0.000
Cd 0.500 0.500 0.500
CELL_PARAMETERS angstrom
-1.868 -1.281 -2.802
-1.297 -2.646 2.074
-10.981 8.187 3.577



# 8
! YThZnCd PBE relaxed; values from VASP
! Symmetry: F-43m
! Calculated formation energy, eV/atom: -0.19
! D(E_F), states/eV/cell: 5.73
&SYSTEM
  ibrav = 0, nat = 4, ntyp = 4
/
ATOMIC_SPECIES
Zn 65.41 Zn.upf
Th 232.04 Th.upf
Y 88.91 Y.upf
Cd 112.41 Cd.upf
ATOMIC_POSITIONS crystal
Zn 0.250 0.250 0.250
Th 0.000 0.000 0.000
Y 0.500 0.500 0.500
Cd 0.750 0.750 0.750
CELL_PARAMETERS angstrom
5.271 0.000 0.000
2.635 4.564 0.000
2.635 1.521 4.303



# 9
! Th2Zn3Cd PBE relaxed; values from VASP
! Symmetry: Imm2
! Calculated formation energy, eV/atom: -0.18
! D(E_F), states/eV/cell: 4.33
! E above lowest polymorph, meV/atom: 34
&SYSTEM
  ibrav = 0, nat = 6, ntyp = 3
/
ATOMIC_SPECIES
Cd 112.41 Cd.upf
Th 232.04 Th.upf
Zn 65.41 Zn.upf
ATOMIC_POSITIONS crystal
Cd 0.464 0.964 0.929
Th 0.858 0.358 0.715
Th 0.143 0.143 0.286
Zn 0.298 0.798 0.596
Zn 0.697 0.697 0.394
Zn 0.540 0.540 0.080
CELL_PARAMETERS angstrom
-1.794 -1.952 2.513
0.591 -3.939 -2.637
7.486 1.460 3.824



# 10
! Th2ZnCd PBE relaxed; values from VASP
! Symmetry: Fm-3m
! Calculated formation energy, eV/atom: -0.08
! D(E_F), states/eV/cell: 2.26
! E above lowest polymorph, meV/atom: 24
&SYSTEM
  ibrav = 0, nat = 4, ntyp = 3
/
ATOMIC_SPECIES
Th 232.04 Th.upf
Zn 65.41 Zn.upf
Cd 112.41 Cd.upf
ATOMIC_POSITIONS crystal
Th 0.750 0.750 0.750
Th 0.250 0.250 0.250
Zn 0.000 0.000 0.000
Cd 0.500 0.500 0.500
CELL_PARAMETERS angstrom
5.330 0.000 0.000
2.665 4.616 0.000
2.665 1.539 4.352



# 11
! ThZn2Cd PBE relaxed; values from VASP
! Symmetry: Pmma
! Calculated formation energy, eV/atom: -0.16
! D(E_F), states/eV/cell: 4.15
! E above lowest polymorph, meV/atom: 18
&SYSTEM
  ibrav = 0, nat = 8, ntyp = 3
/
ATOMIC_SPECIES
Cd 112.41 Cd.upf
Th 232.04 Th.upf
Zn 65.41 Zn.upf
ATOMIC_POSITIONS crystal
Cd 0.500 0.750 0.635
Cd 0.500 0.250 0.365
Th 0.000 0.750 0.294
Th 0.000 0.250 0.706
Zn 0.000 0.750 0.890
Zn 0.500 0.500 0.000
Zn 0.500 0.000 0.000
Zn 0.000 0.250 0.110
CELL_PARAMETERS angstrom
4.254 0.000 0.000
0.000 5.374 0.000
0.000 0.000 7.572



# 12
! ThZnCd2 PBE relaxed; values from VASP
! Symmetry: P2_1/m
! Calculated formation energy, eV/atom: -0.06
! D(E_F), states/eV/cell: 5.10
&SYSTEM
  ibrav = 0, nat = 8, ntyp = 3
/
ATOMIC_SPECIES
Cd 112.41 Cd.upf
Zn 65.41 Zn.upf
Th 232.04 Th.upf
ATOMIC_POSITIONS crystal
Cd 0.250 0.013 0.899
Cd 0.750 0.851 0.488
Cd 0.250 0.149 0.512
Cd 0.750 0.987 0.101
Zn 0.250 0.656 0.617
Zn 0.750 0.344 0.383
Th 0.250 0.559 0.189
Th 0.750 0.441 0.811
CELL_PARAMETERS angstrom
4.852 0.000 0.000
0.000 5.249 0.083
0.000 -1.043 7.473



# 13
! ThZnCd2 PBE relaxed; values from VASP
! Symmetry: P4/mmm
! Calculated formation energy, eV/atom: -0.03
! D(E_F), states/eV/cell: 2.54
&SYSTEM
  ibrav = 0, nat = 4, ntyp = 3
/
ATOMIC_SPECIES
Th 232.04 Th.upf
Cd 112.41 Cd.upf
Zn 65.41 Zn.upf
ATOMIC_POSITIONS crystal
Th 0.500 0.500 0.500
Cd 0.000 0.000 0.205
Cd 0.000 0.000 0.795
Zn 0.500 0.500 0.000
CELL_PARAMETERS angstrom
3.449 0.000 0.000
0.000 3.449 0.000
0.000 0.000 7.857



# 14
! ThZnCd11 PBE relaxed; values from VASP
! Symmetry: C2/m
! Calculated formation energy, eV/atom: -0.05
! D(E_F), states/eV/cell: 4.45
&SYSTEM
  ibrav = 0, nat = 13, ntyp = 3
/
ATOMIC_SPECIES
Cd 112.41 Cd.upf
Th 232.04 Th.upf
Zn 65.41 Zn.upf
ATOMIC_POSITIONS crystal
Cd 0.989 0.355 0.654
Cd 0.295 0.215 0.209
Cd 0.000 0.000 0.500
Cd 0.500 0.000 0.500
Cd 0.011 0.645 0.346
Cd 0.357 0.645 0.654
Cd 0.496 0.785 0.209
Cd 0.000 0.500 0.000
Cd 0.705 0.785 0.791
Cd 0.643 0.355 0.346
Cd 0.504 0.215 0.791
Th 0.000 0.000 0.000
Zn 0.500 0.500 0.000
CELL_PARAMETERS angstrom
-1.994 -3.709 4.110
5.393 -4.638 2.559
0.642 2.814 7.062



# 15
! Th2Zn7Cd PBE relaxed; values from VASP
! Symmetry: P-4m2
! Calculated formation energy, eV/atom: -0.24
! D(E_F), states/eV/cell: 8.50
&SYSTEM
  ibrav = 0, nat = 10, ntyp = 3
/
ATOMIC_SPECIES
Zn 65.41 Zn.upf
Cd 112.41 Cd.upf
Th 232.04 Th.upf
ATOMIC_POSITIONS crystal
Zn 0.000 0.500 0.853
Zn 0.000 0.000 0.500
Zn 0.000 0.500 0.627
Zn 0.500 0.000 0.373
Zn 0.500 0.000 0.147
Zn 0.000 0.000 0.000
Zn 0.500 0.500 0.500
Cd 0.500 0.500 0.000
Th 0.500 0.000 0.736
Th 0.000 0.500 0.264
CELL_PARAMETERS angstrom
4.288 0.000 0.000
0.000 4.288 0.000
0.000 0.000 10.706



# 16
! Th2ZnCd PBE relaxed; values from VASP
! Symmetry: P4/mmm
! Calculated formation energy, eV/atom: -0.11
! D(E_F), states/eV/cell: 2.76
! E above lowest polymorph, meV/atom: 0
&SYSTEM
  ibrav = 0, nat = 4, ntyp = 3
/
ATOMIC_SPECIES
Th 232.04 Th.upf
Zn 65.41 Zn.upf
Cd 112.41 Cd.upf
ATOMIC_POSITIONS crystal
Th 0.000 0.000 0.236
Th 0.000 0.000 0.764
Zn 0.500 0.500 0.000
Cd 0.500 0.500 0.500
CELL_PARAMETERS angstrom
3.723 0.000 0.000
0.000 3.723 0.000
0.000 0.000 7.664



# 17
! Th3Zn4Cd2 PBE relaxed; values from VASP
! Symmetry: C2/m
! Calculated formation energy, eV/atom: -0.21
! D(E_F), states/eV/cell: 7.80
&SYSTEM
  ibrav = 0, nat = 9, ntyp = 3
/
ATOMIC_SPECIES
Cd 112.41 Cd.upf
Zn 65.41 Zn.upf
Th 232.04 Th.upf
ATOMIC_POSITIONS crystal
Cd 0.375 0.749 0.711
Cd 0.625 0.251 0.289
Zn 0.058 0.117 0.396
Zn 0.728 0.456 0.056
Zn 0.272 0.544 0.944
Zn 0.942 0.883 0.604
Th 0.341 0.682 0.324
Th 0.000 0.000 0.000
Th 0.659 0.318 0.676
CELL_PARAMETERS angstrom
4.757 0.000 0.000
-2.379 5.179 -1.713
0.000 -1.306 8.860



# 18
! ThZnCd2 PBE relaxed; values from VASP
! Symmetry: Fm-3m
! Calculated formation energy, eV/atom: 0.00
! D(E_F), states/eV/cell: 1.79
&SYSTEM
  ibrav = 0, nat = 4, ntyp = 3
/
ATOMIC_SPECIES
Cd 112.41 Cd.upf
Th 232.04 Th.upf
Zn 65.41 Zn.upf
ATOMIC_POSITIONS crystal
Cd 0.750 0.750 0.750
Cd 0.250 0.250 0.250
Th 0.000 0.000 0.000
Zn 0.500 0.500 0.500
CELL_PARAMETERS angstrom
-0.754 4.108 -2.972
-0.833 -0.589 -5.024
-4.647 0.931 -1.955



# 19
! ThZn2Cd9 PBE relaxed; values from VASP
! Symmetry: I4_1/amd
! Calculated formation energy, eV/atom: -0.03
! D(E_F), states/eV/cell: 9.85
&SYSTEM
  ibrav = 0, nat = 24, ntyp = 3
/
ATOMIC_SPECIES
Zn 65.41 Zn.upf
Cd 112.41 Cd.upf
Th 232.04 Th.upf
ATOMIC_POSITIONS crystal
Zn 0.875 0.250 0.250
Zn 0.875 0.250 0.750
Zn 0.875 0.750 0.250
Zn 0.375 0.750 0.750
Cd 0.995 0.682 0.924
Cd 0.081 0.318 0.924
Cd 0.149 0.182 0.424
Cd 0.601 0.076 0.318
Cd 0.427 0.424 0.818
Cd 0.323 0.076 0.682
Cd 0.669 0.182 0.576
Cd 0.669 0.576 0.182
Cd 0.755 0.818 0.576
Cd 0.755 0.576 0.818
Cd 0.000 0.000 0.000
Cd 0.995 0.924 0.682
Cd 0.601 0.318 0.076
Cd 0.427 0.818 0.424
Cd 0.750 0.500 0.500
Cd 0.149 0.424 0.182
Cd 0.081 0.924 0.318
Cd 0.323 0.682 0.076
Th 0.250 0.500 0.500
Th 0.500 0.000 0.000
CELL_PARAMETERS angstrom
6.911 0.000 3.182
3.455 8.264 1.591
-0.001 0.000 9.098



# 20
! ThZn3Cd3 PBE relaxed; values from VASP
! Symmetry: P2_1/m
! Calculated formation energy, eV/atom: -0.03
! D(E_F), states/eV/cell: 5.49
! E above lowest polymorph, meV/atom: 0
&SYSTEM
  ibrav = 0, nat = 14, ntyp = 3
/
ATOMIC_SPECIES
Zn 65.41 Zn.upf
Cd 112.41 Cd.upf
Th 232.04 Th.upf
ATOMIC_POSITIONS crystal
Zn 0.250 0.399 0.479
Zn 0.250 0.080 0.601
Zn 0.250 0.521 0.920
Zn 0.750 0.920 0.399
Zn 0.750 0.601 0.521
Zn 0.750 0.479 0.080
Cd 0.250 0.755 0.780
Cd 0.250 0.219 0.974
Cd 0.250 0.026 0.245
Cd 0.750 0.974 0.755
Cd 0.750 0.781 0.026
Cd 0.750 0.245 0.220
Th 0.750 0.334 0.667
Th 0.250 0.666 0.333
CELL_PARAMETERS angstrom
-3.400 -3.128 -0.828
3.245 -5.136 6.076
-5.918 5.887 2.062



# 21
! ThZnCd4 PBE relaxed; values from VASP
! Symmetry: Pmma
! Calculated formation energy, eV/atom: -0.09
! D(E_F), states/eV/cell: 3.65
&SYSTEM
  ibrav = 0, nat = 12, ntyp = 3
/
ATOMIC_SPECIES
Zn 65.41 Zn.upf
Cd 112.41 Cd.upf
Th 232.04 Th.upf
ATOMIC_POSITIONS crystal
Zn 0.000 0.760 0.250
Zn 0.000 0.240 0.750
Cd 0.500 0.065 0.250
Cd 0.000 0.000 0.000
Cd 0.500 0.935 0.750
Cd 0.500 0.319 0.557
Cd 0.500 0.319 0.943
Cd 0.000 0.000 0.500
Cd 0.500 0.681 0.057
Cd 0.500 0.681 0.443
Th 0.000 0.375 0.250
Th 0.000 0.625 0.750
CELL_PARAMETERS angstrom
4.548 0.000 0.000
0.000 7.788 0.000
0.000 0.000 7.803



# 22
! ThZn2Cd PBE relaxed; values from VASP
! Symmetry: P4/mmm
! Calculated formation energy, eV/atom: -0.08
! D(E_F), states/eV/cell: 2.46
! E above lowest polymorph, meV/atom: 99
&SYSTEM
  ibrav = 0, nat = 4, ntyp = 3
/
ATOMIC_SPECIES
Zn 65.41 Zn.upf
Th 232.04 Th.upf
Cd 112.41 Cd.upf
ATOMIC_POSITIONS crystal
Zn 0.000 0.000 0.221
Zn 0.000 0.000 0.779
Th 0.500 0.500 0.500
Cd 0.500 0.500 0.000
CELL_PARAMETERS angstrom
-2.832 0.354 -1.902
1.487 -1.758 -2.542
-2.652 -6.267 2.782



# 23
! Th2ZnCd PBE relaxed; values from VASP
! Symmetry: P4/mmm
! Calculated formation energy, eV/atom: -0.09
! D(E_F), states/eV/cell: 4.10
! E above lowest polymorph, meV/atom: 16
&SYSTEM
  ibrav = 0, nat = 4, ntyp = 3
/
ATOMIC_SPECIES
Th 232.04 Th.upf
Cd 112.41 Cd.upf
Zn 65.41 Zn.upf
ATOMIC_POSITIONS crystal
Th 0.000 0.000 0.500
Th 0.000 0.500 0.000
Cd 0.500 0.000 0.000
Zn 0.500 0.500 0.500
CELL_PARAMETERS angstrom
-3.014 0.539 -3.342
-1.246 -4.621 0.379
-3.362 1.171 3.221



# 24
! ThZn2Cd PBE relaxed; values from VASP
! Symmetry: Fm-3m
! Calculated formation energy, eV/atom: -0.18
! D(E_F), states/eV/cell: 1.55
! E above lowest polymorph, meV/atom: 0
&SYSTEM
  ibrav = 0, nat = 4, ntyp = 3
/
ATOMIC_SPECIES
Th 232.04 Th.upf
Cd 112.41 Cd.upf
Zn 65.41 Zn.upf
ATOMIC_POSITIONS crystal
Th 0.000 0.000 0.000
Cd 0.500 0.500 0.500
Zn 0.750 0.750 0.750
Zn 0.250 0.250 0.250
CELL_PARAMETERS angstrom
4.957 0.000 0.000
2.479 4.293 0.000
2.479 1.431 4.048